Record 1
# CaB6H8O14

A relaxed structure of CaB6H8O14 (PBE-GGA, the Alexandria database).

The value obtained for the total energy is -6.716 eV/atom. The calculation puts the magnetization at 0.000 μB per atom. Its crystal system is monoclinic.

Cell lengths 9.976, 8.000, 14.832 Å; angles 90.00, 111.03, 90.00 degrees
Fractional positions:
1 Ca 0.220 0.067 0.192
2 Ca 0.220 0.433 0.692
3 Ca 0.780 0.567 0.308
4 Ca 0.780 0.933 0.808
5 B 0.017 0.095 0.749
6 B 0.017 0.405 0.249
7 B 0.156 0.665 0.319
8 B 0.156 0.835 0.819
9 B 0.232 0.043 0.707
10 B 0.232 0.457 0.207
11 B 0.370 0.743 0.464
12 B 0.370 0.757 0.964
13 B 0.420 0.665 0.318
14 B 0.420 0.835 0.818
15 B 0.487 0.105 0.758
16 B 0.487 0.395 0.258
17 B 0.513 0.605 0.742
18 B 0.513 0.895 0.242
19 B 0.580 0.165 0.182
20 B 0.580 0.335 0.682
21 B 0.630 0.243 0.036
22 B 0.630 0.257 0.536
23 B 0.768 0.543 0.793
24 B 0.768 0.957 0.293
25 B 0.844 0.165 0.181
26 B 0.844 0.335 0.681
27 B 0.983 0.595 0.751
28 B 0.983 0.905 0.251
29 H 0.068 0.183 0.986
30 H 0.068 0.317 0.486
31 H 0.142 0.738 0.091
32 H 0.142 0.762 0.591
33 H 0.145 0.648 0.507
34 H 0.145 0.852 0.007
35 H 0.175 0.043 0.565
36 H 0.175 0.457 0.065
37 H 0.232 0.205 0.994
38 H 0.232 0.295 0.494
39 H 0.274 0.016 0.400
40 H 0.274 0.484 0.900
41 H 0.351 0.644 0.082
42 H 0.351 0.856 0.582
43 H 0.396 0.138 0.398
44 H 0.396 0.362 0.898
45 H 0.604 0.638 0.102
46 H 0.604 0.862 0.602
47 H 0.649 0.144 0.418
48 H 0.649 0.356 0.918
49 H 0.726 0.516 0.100
50 H 0.726 0.984 0.600
51 H 0.768 0.705 0.506
52 H 0.768 0.795 0.006
53 H 0.825 0.543 0.935
54 H 0.825 0.957 0.435
55 H 0.855 0.148 0.993
56 H 0.855 0.352 0.493
57 H 0.858 0.238 0.409
58 H 0.858 0.262 0.909
59 H 0.932 0.683 0.514
60 H 0.932 0.817 0.014
61 O 0.040 0.546 0.307
62 O 0.040 0.954 0.807
63 O 0.106 0.684 0.760
64 O 0.106 0.816 0.260
65 O 0.107 0.141 0.703
66 O 0.107 0.359 0.203
67 O 0.114 0.647 0.564
68 O 0.114 0.853 0.064
69 O 0.167 0.215 0.030
70 O 0.167 0.285 0.530
71 O 0.208 0.545 0.114
72 O 0.208 0.955 0.614
73 O 0.225 0.711 0.422
74 O 0.225 0.789 0.922
75 O 0.270 0.583 0.288
76 O 0.270 0.917 0.788
77 O 0.291 0.113 0.367
78 O 0.291 0.387 0.867
79 O 0.349 0.163 0.726
80 O 0.349 0.337 0.226
81 O 0.401 0.687 0.756
82 O 0.401 0.813 0.256
83 O 0.424 0.685 0.055
84 O 0.424 0.815 0.555
85 O 0.465 0.712 0.419
86 O 0.465 0.788 0.919
87 O 0.477 0.047 0.196
88 O 0.477 0.453 0.696
89 O 0.523 0.547 0.304
90 O 0.523 0.953 0.804
91 O 0.535 0.212 0.081
92 O 0.535 0.288 0.581
93 O 0.576 0.185 0.445
94 O 0.576 0.315 0.945
95 O 0.599 0.187 0.744
96 O 0.599 0.313 0.244
97 O 0.651 0.663 0.774
98 O 0.651 0.837 0.274
99 O 0.709 0.613 0.133
100 O 0.709 0.887 0.633
101 O 0.730 0.083 0.212
102 O 0.730 0.417 0.712
103 O 0.775 0.211 0.078
104 O 0.775 0.289 0.578
105 O 0.792 0.045 0.386
106 O 0.792 0.455 0.886
107 O 0.833 0.715 0.470
108 O 0.833 0.785 0.970
109 O 0.886 0.147 0.936
110 O 0.886 0.353 0.436
111 O 0.893 0.641 0.797
112 O 0.893 0.859 0.297
113 O 0.894 0.184 0.740
114 O 0.894 0.316 0.240
115 O 0.960 0.046 0.193
116 O 0.960 0.454 0.693

***

Record 2
# ScBeO2F

A relaxed structure of ScBeO2F (PBE-GGA, the Alexandria database).

The calculation puts the energy relative to the elements, uncorrected at -834.3 kJ/mol of formula units. The calculation puts the magnetization at 0.000 μB per atom. Its crystal system is tetragonal.

Cell lengths 4.079, 4.079, 3.894 Å; angles 90.00, 90.00, 90.00 degrees
Fractional positions:
1 Sc 0.000 0.000 0.000
2 Be 0.500 0.500 0.500
3 O 0.000 0.500 0.000
4 O 0.500 0.000 0.000
5 F 0.000 0.000 0.500